# 1
This record from the Alexandria database describes Sm3Pa4N8 after structural relaxation. The functional is PBE.

Its symmetry is No. 12. The calculation puts the formation energy from raw total energies at -1.44 eV per atom. The value obtained for the magnetization is 0.02 μB per formula unit. The density of states at the Fermi level comes out at 10.9 states/eV/f.u. As for the total energy: -9.358 eV/atom.

a = 7.0412 Å, b = 7.0412 Å, c = 7.0089 Å
α = 119.41°, β = 119.41°, γ = 90.72°
With the nearest neighbours (Å) after each atom.
Fractional coordinates of all 15 atoms:
Sm  0.0000  0.0000  0.0000  6 N 2.58-2.67
Sm  0.0000  0.5000  0.0000  6 N 2.47-2.52
Sm  0.5000  0.0000  0.0000  6 N 2.47-2.52
Pa  0.0000  0.0000  0.5000  6 N 2.28-2.32
Pa  0.0000  0.5000  0.5000  6 N 2.48-2.51
Pa  0.5000  0.0000  0.5000  6 N 2.48-2.51
Pa  0.5000  0.5000  0.0000  6 N 2.30-2.43
N  0.2316  0.7684  0.5000  3 Pa 2.32-2.48, 2 Sm 2.51
N  0.2426  0.2426  0.5165  4 Pa 2.32-2.51, 1 Sm 2.59
N  0.2452  0.2452  0.9521  2 Pa 2.28-2.30, 2 Sm 2.52
N  0.2571  0.7429  0.0000  3 Pa 2.43-2.51, 3 Sm 2.47-2.58
N  0.7429  0.2571  0.0000  3 Pa 2.43-2.51, 3 Sm 2.47-2.58
N  0.7548  0.7548  0.0479  2 Pa 2.28-2.30, 2 Sm 2.52
N  0.7574  0.7574  0.4835  4 Pa 2.32-2.51, 1 Sm 2.59
N  0.7684  0.2316  0.5000  3 Pa 2.32-2.48, 2 Sm 2.51

***

# 2
This record from the Alexandria database describes Sm3PaN4 after structural relaxation. The functional is PBE.

Its symmetry is No. 139. The calculation puts the formation energy from raw total energies at -1.58 eV per atom. The value obtained for the magnetization is 0.00 μB per formula unit. The density of states at the Fermi level comes out at 2.1 states/eV/f.u. As for the total energy: -8.696 eV/atom.

a = 6.1612 Å, b = 6.1612 Å, c = 6.1612 Å
α = 131.79°, β = 131.79°, γ = 70.56°
With the nearest neighbours (Å) after each atom.
Fractional coordinates of all 8 atoms:
Sm  0.0000  0.0000  0.0000  6 N 2.52-2.74
Sm  0.2500  0.7500  0.5000  6 N 2.51-2.53
Sm  0.7500  0.2500  0.5000  6 N 2.51-2.53
Pa  0.5000  0.5000  0.0000  6 N 2.29-2.52
N  0.0000  0.5000  0.5000  4 Sm 2.51-2.52, 2 Pa 2.52
N  0.2725  0.2725  0.0000  1 Pa 2.29, 4 Sm 2.53
N  0.5000  0.0000  0.5000  4 Sm 2.51-2.52, 2 Pa 2.52
N  0.7275  0.7275  0.0000  1 Pa 2.29, 4 Sm 2.53

***

# 3
This record from the Alexandria database describes SmPaN3 after structural relaxation. The functional is PBE.

Its symmetry is No. 12. The calculation puts the formation energy from raw total energies at -1.29 eV per atom. The value obtained for the magnetization is 0.00 μB per formula unit. The density of states at the Fermi level comes out at 2.5 states/eV/f.u. As for the total energy: -9.124 eV/atom.

a = 7.0130 Å, b = 7.0130 Å, c = 6.9700 Å
α = 118.15°, β = 118.15°, γ = 30.22°
With the nearest neighbours (Å) after each atom.
Fractional coordinates of all 10 atoms:
Sm  0.1199  0.1199  0.2835  4 N 2.31-2.49
Sm  0.8801  0.8801  0.7165  4 N 2.31-2.49
Pa  0.3693  0.3693  0.2331  6 N 2.24-2.38
Pa  0.6307  0.6307  0.7669  6 N 2.24-2.38
N  0.0912  0.0912  0.9130  2 Pa 2.28, 2 Sm 2.42-2.49
N  0.2274  0.2274  0.7133  2 Pa 2.38, 1 Sm 2.61
N  0.4407  0.4407  0.5990  2 Pa 2.24-2.25, 2 Sm 2.31
N  0.5593  0.5593  0.4010  2 Pa 2.24-2.25, 2 Sm 2.31
N  0.7726  0.7726  0.2867  2 Pa 2.38, 1 Sm 2.61
N  0.9088  0.9088  0.0870  2 Pa 2.28, 2 Sm 2.42-2.49

***

# 4
This record from the Alexandria database describes Sm3Pa5N12 after structural relaxation. The functional is PBE.

Its symmetry is No. 230. The calculation puts the formation energy from raw total energies at -1.27 eV per atom. The value obtained for the magnetization is 0.00 μB per formula unit. The density of states at the Fermi level comes out at 10.6 states/eV/f.u. As for the total energy: -9.343 eV/atom.

a = 12.1116 Å, b = 12.1116 Å, c = 12.1116 Å
α = 109.47°, β = 109.47°, γ = 109.47°
With the nearest neighbours (Å) after each atom.
Fractional coordinates of all 80 atoms:
Sm  0.1250  0.2500  0.3750  4 N 2.52
Sm  0.1250  0.3750  0.7500  4 N 2.52
Sm  0.2500  0.3750  0.1250  4 N 2.52
Sm  0.2500  0.8750  0.6250  4 N 2.52
Sm  0.3750  0.1250  0.2500  4 N 2.52
Sm  0.3750  0.7500  0.1250  4 N 2.52
Sm  0.6250  0.2500  0.8750  4 N 2.52
Sm  0.6250  0.8750  0.7500  4 N 2.52
Sm  0.7500  0.1250  0.3750  4 N 2.52
Sm  0.7500  0.6250  0.8750  4 N 2.52
Sm  0.8750  0.6250  0.2500  4 N 2.52
Sm  0.8750  0.7500  0.6250  4 N 2.52
Pa  0.0000  0.0000  0.0000  6 N 2.27
Pa  0.0000  0.0000  0.5000  6 N 2.27
Pa  0.0000  0.5000  0.0000  6 N 2.27
Pa  0.0000  0.5000  0.5000  6 N 2.27
Pa  0.1250  0.7500  0.8750  4 N 2.12
Pa  0.1250  0.8750  0.2500  4 N 2.12
Pa  0.2500  0.1250  0.8750  4 N 2.12
Pa  0.2500  0.6250  0.3750  4 N 2.12
Pa  0.3750  0.2500  0.6250  4 N 2.12
Pa  0.3750  0.6250  0.7500  4 N 2.12
Pa  0.5000  0.0000  0.0000  6 N 2.27
Pa  0.5000  0.0000  0.5000  6 N 2.27
Pa  0.5000  0.5000  0.0000  6 N 2.27
Pa  0.5000  0.5000  0.5000  6 N 2.27
Pa  0.6250  0.3750  0.2500  4 N 2.12
Pa  0.6250  0.7500  0.3750  4 N 2.12
Pa  0.7500  0.3750  0.6250  4 N 2.12
Pa  0.7500  0.8750  0.1250  4 N 2.12
Pa  0.8750  0.1250  0.7500  4 N 2.12
Pa  0.8750  0.2500  0.1250  4 N 2.12
N  0.0303  0.2027  0.1342  2 Pa 2.12-2.27
N  0.0303  0.3276  0.8961  2 Pa 2.12-2.27
N  0.0685  0.7027  0.6724  2 Pa 2.12-2.27
N  0.0685  0.8658  0.3961  2 Pa 2.12-2.27
N  0.1039  0.6342  0.4315  2 Pa 2.12-2.27
N  0.1039  0.9697  0.6724  2 Pa 2.12-2.27
N  0.1342  0.0303  0.2027  2 Pa 2.12-2.27
N  0.1342  0.6039  0.9315  2 Pa 2.12-2.27
N  0.1724  0.2027  0.5685  2 Pa 2.12-2.27
N  0.1724  0.4697  0.6039  2 Pa 2.12-2.27
N  0.2027  0.1342  0.0303  2 Pa 2.12-2.27
N  0.2027  0.5685  0.1724  2 Pa 2.12-2.27
N  0.2973  0.3276  0.9315  2 Pa 2.12-2.27
N  0.2973  0.4697  0.3658  2 Pa 2.12-2.27
N  0.3276  0.8961  0.0303  2 Pa 2.12-2.27
N  0.3276  0.9315  0.2973  2 Pa 2.12-2.27
N  0.3658  0.2973  0.4697  2 Pa 2.12-2.27
N  0.3658  0.5685  0.8961  2 Pa 2.12-2.27
N  0.3961  0.0685  0.8658  2 Pa 2.12-2.27
N  0.3961  0.8276  0.5303  2 Pa 2.12-2.27
N  0.4315  0.1039  0.6342  2 Pa 2.12-2.27
N  0.4315  0.8276  0.7973  2 Pa 2.12-2.27
N  0.4697  0.3658  0.2973  2 Pa 2.12-2.27
N  0.4697  0.6039  0.1724  2 Pa 2.12-2.27
N  0.5303  0.3961  0.8276  2 Pa 2.12-2.27
N  0.5303  0.6342  0.7027  2 Pa 2.12-2.27
N  0.5685  0.1724  0.2027  2 Pa 2.12-2.27
N  0.5685  0.8961  0.3658  2 Pa 2.12-2.27
N  0.6039  0.1724  0.4697  2 Pa 2.12-2.27
N  0.6039  0.9315  0.1342  2 Pa 2.12-2.27
N  0.6342  0.4315  0.1039  2 Pa 2.12-2.27
N  0.6342  0.7027  0.5303  2 Pa 2.12-2.27
N  0.6724  0.0685  0.7027  2 Pa 2.12-2.27
N  0.6724  0.1039  0.9697  2 Pa 2.12-2.27
N  0.7027  0.5303  0.6342  2 Pa 2.12-2.27
N  0.7027  0.6724  0.0685  2 Pa 2.12-2.27
N  0.7973  0.4315  0.8276  2 Pa 2.12-2.27
N  0.7973  0.8658  0.9697  2 Pa 2.12-2.27
N  0.8276  0.5303  0.3961  2 Pa 2.12-2.27
N  0.8276  0.7973  0.4315  2 Pa 2.12-2.27
N  0.8658  0.3961  0.0685  2 Pa 2.12-2.27
N  0.8658  0.9697  0.7973  2 Pa 2.12-2.27
N  0.8961  0.0303  0.3276  2 Pa 2.12-2.27
N  0.8961  0.3658  0.5685  2 Pa 2.12-2.27
N  0.9315  0.1342  0.6039  2 Pa 2.12-2.27
N  0.9315  0.2973  0.3276  2 Pa 2.12-2.27
N  0.9697  0.6724  0.1039  2 Pa 2.12-2.27
N  0.9697  0.7973  0.8658  2 Pa 2.12-2.27

***

# 5
This record from the Alexandria database describes Sm2Pa3N8 after structural relaxation. The functional is PBE.

Its symmetry is No. 12. The calculation puts the formation energy from raw total energies at -1.14 eV per atom. The value obtained for the magnetization is 0.00 μB per formula unit. The density of states at the Fermi level comes out at 9.6 states/eV/f.u. As for the total energy: -9.177 eV/atom.

a = 6.7660 Å, b = 6.7660 Å, c = 5.8604 Å
α = 108.82°, β = 108.82°, γ = 62.81°
With the nearest neighbours (Å) after each atom.
Fractional coordinates of all 13 atoms:
Sm  0.2167  0.2167  0.1447  6 N 2.45-2.62
Sm  0.7833  0.7833  0.8553  6 N 2.45-2.62
Pa  0.2377  0.7623  0.5000  6 N 2.21-2.34
Pa  0.5000  0.5000  0.0000  6 N 2.27-2.29
Pa  0.7623  0.2377  0.5000  6 N 2.21-2.34
N  0.1067  0.1067  0.4290  2 Pa 2.21, 1 Sm 2.45
N  0.1695  0.5943  0.1092  2 Pa 2.21-2.27
N  0.3975  0.3975  0.5813  3 Pa 2.29-2.34
N  0.4057  0.8305  0.8908  2 Pa 2.21-2.27
N  0.5943  0.1695  0.1092  2 Pa 2.21-2.27
N  0.6025  0.6025  0.4187  3 Pa 2.29-2.34
N  0.8305  0.4057  0.8908  2 Pa 2.21-2.27
N  0.8933  0.8933  0.5710  2 Pa 2.21, 1 Sm 2.45

***

# 6
This record from the Alexandria database describes Sm2Pa2N5 after structural relaxation. The functional is PBE.

Its symmetry is No. 64. The calculation puts the formation energy from raw total energies at -1.38 eV per atom. The value obtained for the magnetization is 0.90 μB per formula unit. The density of states at the Fermi level comes out at 4.8 states/eV/f.u. As for the total energy: -9.161 eV/atom.

a = 6.7455 Å, b = 6.7455 Å, c = 6.6894 Å
α = 90.00°, β = 90.00°, γ = 59.60°
With the nearest neighbours (Å) after each atom.
Fractional coordinates of all 18 atoms:
Sm  0.1613  0.8387  0.8338  6 N 2.45-2.65
Sm  0.3387  0.6613  0.3338  6 N 2.45-2.65
Sm  0.6613  0.3387  0.6662  6 N 2.45-2.65
Sm  0.8387  0.1613  0.1662  6 N 2.45-2.65
Pa  0.2031  0.2031  0.5000  5 N 2.28-2.48
Pa  0.2969  0.2969  0.0000  5 N 2.28-2.48
Pa  0.7031  0.7031  0.0000  5 N 2.28-2.48
Pa  0.7969  0.7969  0.5000  5 N 2.28-2.48
N  0.0000  0.0000  0.5000  2 Pa 2.38, 4 Sm 2.48-2.53
N  0.0225  0.6829  0.1350  2 Pa 2.28-2.48, 1 Sm 2.45
N  0.1829  0.5225  0.6350  2 Pa 2.28-2.48, 1 Sm 2.45
N  0.3171  0.9775  0.1350  2 Pa 2.28-2.48, 1 Sm 2.45
N  0.4775  0.8171  0.6350  2 Pa 2.28-2.48, 1 Sm 2.45
N  0.5000  0.5000  0.0000  2 Pa 2.38, 4 Sm 2.48-2.53
N  0.5225  0.1829  0.3650  2 Pa 2.28-2.48, 1 Sm 2.45
N  0.6829  0.0225  0.8650  2 Pa 2.28-2.48, 1 Sm 2.45
N  0.8171  0.4775  0.3650  2 Pa 2.28-2.48, 1 Sm 2.45
N  0.9775  0.3171  0.8650  2 Pa 2.28-2.48, 1 Sm 2.45

***

# 7
This record from the Alexandria database describes Sm3PaN4 after structural relaxation. The functional is PBE.

Its symmetry is No. 65. The calculation puts the formation energy from raw total energies at -1.58 eV per atom. The value obtained for the magnetization is 0.00 μB per formula unit. The density of states at the Fermi level comes out at 3.8 states/eV/f.u. As for the total energy: -8.697 eV/atom.

a = 6.1529 Å, b = 6.1529 Å, c = 3.5724 Å
α = 90.00°, β = 90.00°, γ = 109.22°
With the nearest neighbours (Å) after each atom.
Fractional coordinates of all 8 atoms:
Sm  0.0000  0.0000  0.0000  6 N 2.63-2.66
Sm  0.0000  0.5000  0.5000  6 N 2.51-2.53
Sm  0.5000  0.0000  0.5000  6 N 2.51-2.53
Pa  0.5000  0.5000  0.0000  6 N 2.35-2.42
N  0.2656  0.7344  0.0000  1 Pa 2.35, 4 Sm 2.53
N  0.2703  0.2703  0.5000  2 Pa 2.42, 4 Sm 2.51-2.63
N  0.7297  0.7297  0.5000  2 Pa 2.42, 4 Sm 2.51-2.63
N  0.7344  0.2656  0.0000  1 Pa 2.35, 4 Sm 2.53

***

# 8
This record from the Alexandria database describes Sm4PaN5 after structural relaxation. The functional is PBE.

Its symmetry is No. 87. The calculation puts the formation energy from raw total energies at -1.58 eV per atom. The value obtained for the magnetization is 0.00 μB per formula unit. The density of states at the Fermi level comes out at 3.4 states/eV/f.u. As for the total energy: -8.580 eV/atom.

a = 6.1740 Å, b = 6.1740 Å, c = 6.1740 Å
α = 99.59°, β = 99.59°, γ = 131.82°
With the nearest neighbours (Å) after each atom.
Fractional coordinates of all 10 atoms:
Sm  0.1001  0.3015  0.4016  6 N 2.51-2.70
Sm  0.3015  0.8999  0.2014  6 N 2.51-2.70
Sm  0.6985  0.1001  0.7986  6 N 2.51-2.70
Sm  0.8999  0.6985  0.5984  6 N 2.51-2.70
Pa  0.5000  0.5000  0.0000  6 N 2.34-2.52
N  0.0000  0.0000  0.0000  2 Pa 2.52, 4 Sm 2.53
N  0.2209  0.5921  0.8130  1 Pa 2.34, 4 Sm 2.51-2.54
N  0.4079  0.2209  0.6288  1 Pa 2.34, 4 Sm 2.51-2.54
N  0.5921  0.7791  0.3712  1 Pa 2.34, 4 Sm 2.51-2.54
N  0.7791  0.4079  0.1870  1 Pa 2.34, 4 Sm 2.51-2.54